Material: Fe2SbPd2
Method: DFT, PBE
State: optimized geometry

It has space group P4/mbm (No. 127), with a = 6.243 Å, b = 6.243 Å, c = 3.886 Å, α = 90.00°, β = 90.00° and γ = 90.00°. The distinct sites, in fractional coordinates, are Fe at (0.120, 0.380, 0.000), Sb at (0.000, 0.000, 0.000) and Pd at (0.167, 0.667, 0.500).

For the final energy, the calculation gives -6.0572 eV per atom. The formation energy without anion corrections comes out at 0.229 eV/atom. As for the density of states at the Fermi level: 15.47 states/eV/cell.